Entry 1:
VASP calculation (PBE) on an optimized crystal structure of TiZnGa3.

CIF file:
```
data_TiZnGa3
_cell_length_a 4.691
_cell_length_b 4.691
_cell_length_c 4.691
_cell_angle_alpha 90.00
_cell_angle_beta 90.00
_cell_angle_gamma 90.00
_space_group_name_H-M_alt 'P 1'
_space_group_IT_number 1
loop_
_space_group_symop_operation_xyz
'x,y,z'
loop_
_atom_site_label
_atom_site_fract_x
_atom_site_fract_y
_atom_site_fract_z
Zn1 0.000 0.000 0.000
Ga1 0.000 0.500 0.000
Ga2 0.000 0.000 0.500
Ga3 0.500 0.000 0.000
Ti1 0.500 0.500 0.500
```

Values from the calculation:
Formation energy from the elements   0.587 eV per atom
Offset from the most stable computed form   3.881 eV per formula unit

***

Entry 2:
VASP calculation (PBE) on an optimized crystal structure of EuTmSnBi.

CIF file:
```
data_EuTmSnBi
_cell_length_a 5.509
_cell_length_b 5.509
_cell_length_c 5.509
_cell_angle_alpha 60.00
_cell_angle_beta 60.00
_cell_angle_gamma 60.00
_space_group_name_H-M_alt 'P 1'
_space_group_IT_number 1
loop_
_space_group_symop_operation_xyz
'x,y,z'
loop_
_atom_site_label
_atom_site_fract_x
_atom_site_fract_y
_atom_site_fract_z
Eu1 0.000 0.000 0.000
Tm1 0.500 0.500 0.500
Bi1 0.750 0.750 0.750
Sn1 0.250 0.250 0.250
```

Values from the calculation:
Formation energy from the elements   -0.535 eV per atom

***

Entry 3:
VASP calculation (PBE) on an optimized crystal structure of AlGaPd14.

CIF file:
```
data_AlGaPd14
_cell_length_a 5.649
_cell_length_b 5.649
_cell_length_c 7.603
_cell_angle_alpha 90.00
_cell_angle_beta 90.00
_cell_angle_gamma 90.00
_space_group_name_H-M_alt 'P 1'
_space_group_IT_number 1
loop_
_space_group_symop_operation_xyz
'x,y,z'
loop_
_atom_site_label
_atom_site_fract_x
_atom_site_fract_y
_atom_site_fract_z
Al1 0.375 0.375 0.500
Ga1 0.875 0.875 0.500
Pd1 0.875 0.875 0.000
Pd2 0.375 0.375 0.000
Pd3 0.875 0.375 0.500
Pd4 0.875 0.375 0.000
Pd5 0.375 0.875 0.500
Pd6 0.375 0.875 0.000
Pd7 0.624 0.126 0.259
Pd8 0.624 0.126 0.741
Pd9 0.126 0.624 0.259
Pd10 0.126 0.624 0.741
Pd11 0.624 0.624 0.259
Pd12 0.624 0.624 0.741
Pd13 0.126 0.126 0.259
Pd14 0.126 0.126 0.741
```

Values from the calculation:
Formation energy from the elements   -0.272 eV per atom

***

Entry 4:
VASP calculation (PBE) on an optimized crystal structure of CeCdGe2Pd2.

CIF file:
```
data_CeCdGe2Pd2
_cell_length_a 4.358
_cell_length_b 4.358
_cell_length_c 7.082
_cell_angle_alpha 90.00
_cell_angle_beta 90.00
_cell_angle_gamma 120.00
_space_group_name_H-M_alt 'P 1'
_space_group_IT_number 1
loop_
_space_group_symop_operation_xyz
'x,y,z'
loop_
_atom_site_label
_atom_site_fract_x
_atom_site_fract_y
_atom_site_fract_z
Ce1 0.000 0.000 0.000
Cd1 0.000 0.000 0.500
Ge1 0.667 0.333 0.249
Ge2 0.333 0.667 0.751
Pd1 0.667 0.333 0.685
Pd2 0.333 0.667 0.315
```

Values from the calculation:
Formation energy from the elements   -0.593 eV per atom

***

Entry 5:
VASP calculation (PBE) on an optimized crystal structure of Na2SmBO4.

CIF file:
```
data_Na2SmBO4
_cell_length_a 5.240
_cell_length_b 6.012
_cell_length_c 12.390
_cell_angle_alpha 84.71
_cell_angle_beta 77.79
_cell_angle_gamma 64.17
_space_group_name_H-M_alt 'P 1'
_space_group_IT_number 1
loop_
_space_group_symop_operation_xyz
'x,y,z'
loop_
_atom_site_label
_atom_site_fract_x
_atom_site_fract_y
_atom_site_fract_z
Na1 0.211 0.000 0.578
Na2 0.789 0.000 0.422
Na3 0.539 0.500 0.922
Na4 0.961 0.500 0.078
Sm1 0.750 0.500 0.500
Sm2 0.000 0.000 0.000
B1 0.250 0.500 0.500
B2 0.500 0.000 0.000
O1 0.392 0.822 0.069
O2 0.282 0.178 0.931
O3 0.787 0.822 0.931
O4 0.540 0.178 0.069
O5 0.358 0.678 0.431
O6 0.468 0.322 0.569
O7 0.963 0.678 0.569
O8 0.210 0.322 0.431
```

Values from the calculation:
Uncorrected formation energy   -1.83 eV per atom

***

Entry 6:
VASP calculation (PBE) on an optimized crystal structure of PbW2Cl.

CIF file:
```
data_PbW2Cl
_cell_length_a 4.515
_cell_length_b 4.125
_cell_length_c 4.125
_cell_angle_alpha 90.00
_cell_angle_beta 90.00
_cell_angle_gamma 90.00
_space_group_name_H-M_alt 'P 1'
_space_group_IT_number 1
loop_
_space_group_symop_operation_xyz
'x,y,z'
loop_
_atom_site_label
_atom_site_fract_x
_atom_site_fract_y
_atom_site_fract_z
Cl1 0.500 0.500 0.000
Pb1 0.500 0.000 0.500
W1 0.000 0.000 0.000
W2 0.000 0.500 0.500
```

Values from the calculation:
Uncorrected formation energy   1.59 eV per atom
Offset from the most stable computed form   5.536 eV per formula unit

***

| no. | V (A^3/atom) | N(E_F) (states/eV/atom) |
| --- | --- | --- |
| 1 | 20.640 | 0.86 |
| 2 | 29.552 | 1.03 |
| 3 | 15.163 | 1.59 |
| 4 | 19.414 | 1.08 |
| 5 | 21.461 | 0.00 |
| 6 | 19.204 | 0.58 |